DFT (PBE-GGA) results for Sm3BiH after structural relaxation.

```
data_Sm3BiH
_chemical_formula_sum 'Sm6 Bi2 H2'
_space_group_name_H-M_alt 'P 1 21 1'
_space_group_IT_number 4
_cell_length_a 4.6974
_cell_length_b 6.8496
_cell_length_c 8.6085
_cell_angle_alpha 90.00
_cell_angle_beta 105.69
_cell_angle_gamma 90.00
loop_
_space_group_symop_operation_xyz
'x,y,z'
'-x,y+1/2,-z'
loop_
_atom_site_label
_atom_site_type_symbol
_atom_site_fract_x
_atom_site_fract_y
_atom_site_fract_z
Sm1 Sm 0.0122 0.0000 0.0253
Sm2 Sm 0.2179 0.4911 0.4398
Sm3 Sm 0.4003 0.2311 0.7978
Bi1 Bi 0.3923 0.7554 0.7824
H1 H 0.0987 0.6932 0.2002
```

Values from the calculation:
For the density of states at the Fermi level, the calculation gives 9.88 states/eV per cell. The value obtained for the total energy is -4.642 eV per atom.

---

DFT (PBE-GGA) results for Sm2BiH2 after structural relaxation.

```
data_Sm2BiH2
_chemical_formula_sum 'Sm4 Bi2 H4'
_space_group_name_H-M_alt 'I 4/m m m'
_space_group_IT_number 139
_space_group_name_Hall '-I 4 2'
_cell_length_a 4.0379
_cell_length_b 4.0379
_cell_length_c 11.9142
_cell_angle_alpha 90.00
_cell_angle_beta 90.00
_cell_angle_gamma 90.00
loop_
_atom_site_label
_atom_site_type_symbol
_atom_site_fract_x
_atom_site_fract_y
_atom_site_fract_z
Sm1 Sm 0.0000 0.0000 0.1488
Bi1 Bi 0.0000 0.0000 0.5000
H1 H 0.0000 0.5000 0.2500
```

Values from the calculation:
For the density of states at the Fermi level, the calculation gives 4.37 states/eV per cell. The value obtained for the total energy is -4.723 eV per atom.

---

DFT (PBE-GGA) results for Sm4TlBiH after structural relaxation.

```
data_Sm4TlBiH
_chemical_formula_sum 'Sm16 Tl4 Bi4 H4'
_space_group_name_H-M_alt 'C m c m'
_space_group_IT_number 63
_space_group_name_Hall '-C 2c 2'
_cell_length_a 6.5571
_cell_length_b 17.4777
_cell_length_c 6.5951
_cell_angle_alpha 90.00
_cell_angle_beta 90.00
_cell_angle_gamma 90.00
loop_
_atom_site_label
_atom_site_type_symbol
_atom_site_fract_x
_atom_site_fract_y
_atom_site_fract_z
Sm1 Sm 0.0000 0.0694 0.2500
Sm2 Sm 0.0000 0.4255 0.2500
Sm3 Sm 0.2500 0.2500 0.0000
Tl1 Tl 0.0000 0.1122 0.7500
Bi1 Bi 0.0000 0.3890 0.7500
H1 H 0.0000 0.2910 0.2500
```

Values from the calculation:
For the density of states at the Fermi level, the calculation gives 30.11 states/eV per cell. The value obtained for the total energy is -4.587 eV per atom.

---

DFT (PBE-GGA) results for SnBi4H2 after structural relaxation.

```
data_SnBi4H2
_chemical_formula_sum 'Sn2 Bi8 H4'
_space_group_name_H-M_alt 'C m m m'
_space_group_IT_number 65
_space_group_name_Hall '-C 2 2'
_cell_length_a 5.7196
_cell_length_b 18.6489
_cell_length_c 3.3343
_cell_angle_alpha 90.00
_cell_angle_beta 90.00
_cell_angle_gamma 90.00
loop_
_atom_site_label
_atom_site_type_symbol
_atom_site_fract_x
_atom_site_fract_y
_atom_site_fract_z
Sn1 Sn 0.0000 0.0000 0.0000
Bi1 Bi 0.0000 0.1659 0.0000
Bi2 Bi 0.0000 0.3836 0.5000
H1 H 0.0000 0.2792 0.5000
```

Values from the calculation:
For the density of states at the Fermi level, the calculation gives 5.61 states/eV per cell. The value obtained for the total energy is -3.410 eV per atom.

---

DFT (PBE-GGA) results for SnBi2H2 after structural relaxation.

```
data_SnBi2H2
_chemical_formula_sum 'Sn2 Bi4 H4'
_space_group_name_H-M_alt 'I 4/m m m'
_space_group_IT_number 139
_space_group_name_Hall '-I 4 2'
_cell_length_a 3.8839
_cell_length_b 3.8839
_cell_length_c 13.0392
_cell_angle_alpha 90.00
_cell_angle_beta 90.00
_cell_angle_gamma 90.00
loop_
_atom_site_label
_atom_site_type_symbol
_atom_site_fract_x
_atom_site_fract_y
_atom_site_fract_z
Sn1 Sn 0.0000 0.0000 0.0000
Bi1 Bi 0.0000 0.0000 0.3602
H1 H 0.0000 0.5000 0.2500
```

Values from the calculation:
For the density of states at the Fermi level, the calculation gives 3.06 states/eV per cell. The value obtained for the total energy is -3.264 eV per atom.

---

DFT (PBE-GGA) results for SnBiH3 after structural relaxation.

```
data_SnBiH3
_chemical_formula_sum 'Sn1 Bi1 H3'
_space_group_name_H-M_alt 'P m -3 m'
_space_group_IT_number 221
_space_group_name_Hall '-P 4 2 3'
_cell_length_a 4.2793
_cell_length_b 4.2793
_cell_length_c 4.2793
_cell_angle_alpha 90.00
_cell_angle_beta 90.00
_cell_angle_gamma 90.00
loop_
_atom_site_label
_atom_site_type_symbol
_atom_site_fract_x
_atom_site_fract_y
_atom_site_fract_z
Sn1 Sn 0.0000 0.0000 0.0000
Bi1 Bi 0.5000 0.5000 0.5000
H1 H 0.0000 0.5000 0.5000
```

Values from the calculation:
For the density of states at the Fermi level, the calculation gives 3.72 states/eV per cell. The value obtained for the total energy is -2.890 eV per atom.

---

DFT (PBE-GGA) results for SnBi2H2 after structural relaxation.

```
data_SnBi2H2
_chemical_formula_sum 'Sn2 Bi4 H4'
_space_group_name_H-M_alt 'I 4/m m m'
_space_group_IT_number 139
_space_group_name_Hall '-I 4 2'
_cell_length_a 4.7974
_cell_length_b 4.7974
_cell_length_c 9.3793
_cell_angle_alpha 90.00
_cell_angle_beta 90.00
_cell_angle_gamma 90.00
loop_
_atom_site_label
_atom_site_type_symbol
_atom_site_fract_x
_atom_site_fract_y
_atom_site_fract_z
Sn1 Sn 0.0000 0.0000 0.0000
Bi1 Bi 0.0000 0.5000 0.2500
H1 H 0.0000 0.0000 0.4593
```

Values from the calculation:
For the density of states at the Fermi level, the calculation gives 2.53 states/eV per cell. The value obtained for the total energy is -3.580 eV per atom.

---

DFT (PBE-GGA) results for SnBi3H after structural relaxation.

```
data_SnBi3H
_chemical_formula_sum 'Sn1 Bi3 H1'
_space_group_name_H-M_alt 'P m -3 m'
_space_group_IT_number 221
_space_group_name_Hall '-P 4 2 3'
_cell_length_a 5.0190
_cell_length_b 5.0190
_cell_length_c 5.0190
_cell_angle_alpha 90.00
_cell_angle_beta 90.00
_cell_angle_gamma 90.00
loop_
_atom_site_label
_atom_site_type_symbol
_atom_site_fract_x
_atom_site_fract_y
_atom_site_fract_z
Sn1 Sn 0.0000 0.0000 0.0000
Bi1 Bi 0.0000 0.5000 0.5000
H1 H 0.5000 0.5000 0.5000
```

Values from the calculation:
For the density of states at the Fermi level, the calculation gives 3.12 states/eV per cell. The value obtained for the total energy is -3.466 eV per atom.

---

DFT (PBE-GGA) results for SnBiH3 after structural relaxation.

```
data_SnBiH3
_chemical_formula_sum 'Sn1 Bi1 H3'
_space_group_name_H-M_alt 'P m -3 m'
_space_group_IT_number 221
_space_group_name_Hall '-P 4 2 3'
_cell_length_a 4.1348
_cell_length_b 4.1348
_cell_length_c 4.1348
_cell_angle_alpha 90.00
_cell_angle_beta 90.00
_cell_angle_gamma 90.00
loop_
_atom_site_label
_atom_site_type_symbol
_atom_site_fract_x
_atom_site_fract_y
_atom_site_fract_z
Sn1 Sn 0.0000 0.0000 0.0000
Bi1 Bi 0.5000 0.5000 0.5000
H1 H 0.0000 0.0000 0.5000
```

Values from the calculation:
For the density of states at the Fermi level, the calculation gives 2.56 states/eV per cell. The value obtained for the total energy is -2.940 eV per atom.

---

DFT (PBE-GGA) results for SnBi3H after structural relaxation.

```
data_SnBi3H
_chemical_formula_sum 'Sn2 Bi6 H2'
_space_group_name_H-M_alt 'P -1'
_space_group_IT_number 2
_cell_length_a 5.0807
_cell_length_b 7.1382
_cell_length_c 9.2626
_cell_angle_alpha 110.12
_cell_angle_beta 95.65
_cell_angle_gamma 90.75
loop_
_space_group_symop_operation_xyz
'x,y,z'
'-x,-y,-z'
loop_
_atom_site_label
_atom_site_type_symbol
_atom_site_fract_x
_atom_site_fract_y
_atom_site_fract_z
Sn1 Sn 0.0075 0.2644 0.0061
Bi1 Bi 0.0244 0.7902 0.5113
Bi2 Bi 0.3295 0.4119 0.8005
Bi3 Bi 0.4122 0.0663 0.1619
H1 H 0.3334 0.7632 0.4154
```

Values from the calculation:
For the density of states at the Fermi level, the calculation gives 1.09 states/eV per cell. The value obtained for the total energy is -3.632 eV per atom.

---

DFT (PBE-GGA) results for SnBi2H2 after structural relaxation.

```
data_SnBi2H2
_chemical_formula_sum 'Sn2 Bi4 H4'
_space_group_name_H-M_alt 'P 4/m b m'
_space_group_IT_number 127
_space_group_name_Hall '-P 4 2ab'
_cell_length_a 6.8792
_cell_length_b 6.8792
_cell_length_c 4.5728
_cell_angle_alpha 90.00
_cell_angle_beta 90.00
_cell_angle_gamma 90.00
loop_
_atom_site_label
_atom_site_type_symbol
_atom_site_fract_x
_atom_site_fract_y
_atom_site_fract_z
Sn1 Sn 0.0000 0.0000 0.0000
Bi1 Bi 0.1720 0.3280 0.5000
H1 H 0.1824 0.3176 0.0000
```

Values from the calculation:
For the density of states at the Fermi level, the calculation gives 3.56 states/eV per cell. The value obtained for the total energy is -3.294 eV per atom.

---

DFT (PBE-GGA) results for Sn3BiH after structural relaxation.

```
data_Sn3BiH
_chemical_formula_sum 'Sn3 Bi1 H1'
_space_group_name_H-M_alt 'P m -3 m'
_space_group_IT_number 221
_space_group_name_Hall '-P 4 2 3'
_cell_length_a 4.9147
_cell_length_b 4.9147
_cell_length_c 4.9147
_cell_angle_alpha 90.00
_cell_angle_beta 90.00
_cell_angle_gamma 90.00
loop_
_atom_site_label
_atom_site_type_symbol
_atom_site_fract_x
_atom_site_fract_y
_atom_site_fract_z
Sn1 Sn 0.0000 0.0000 0.5000
Bi1 Bi 0.5000 0.5000 0.5000
H1 H 0.0000 0.0000 0.0000
```

Values from the calculation:
For the density of states at the Fermi level, the calculation gives 3.07 states/eV per cell. The value obtained for the total energy is -3.596 eV per atom.